Compound: NbPF2
Source: Alexandria
Functional: SCAN
Structure: single point on PBEsol structure

The structure belongs to space group I-42d (No. 122); the cell edges are 3.613, 3.613 and 15.559 Å and the angles 90.00°, 90.00° and 90.00°. Symmetry generates all atoms from Nb at (0.000, 0.000, 0.000), P at (0.000, 0.000, 0.500) and F at (0.197, 0.250, 0.125).

The total magnetization comes out at 0.000 μB per atom. The calculated density comes out at 5.293 g cm⁻³. The energy relative to the elements, uncorrected is -30.94 kcal/mol of atoms. The polymorph energy (0 for the lowest one) comes out at 0.000 eV/atom.



Compound: NbPF2
Source: Alexandria
Functional: SCAN
Structure: single point on PBEsol structure

The structure belongs to space group Fm-3m (No. 225); the cell edges are 5.745, 5.745 and 5.745 Å and the angles 90.00°, 90.00° and 90.00°. Symmetry generates all atoms from Nb at (0.000, 0.000, 0.000), P at (0.000, 0.000, 0.500) and F at (0.250, 0.250, 0.250).

The total magnetization comes out at 0.000 μB per atom. The calculated density comes out at 5.670 g cm⁻³. The energy relative to the elements, uncorrected is -18.38 kcal/mol of atoms. The polymorph energy (0 for the lowest one) comes out at 0.545 eV/atom.



What is the formula in the first record?
NbPF2